Entry P
This record from Alexandria describes crystalline TmTh2Cu at its relaxed geometry. The functional is GGA-PBE.

Cell: 3.5376 3.5376 8.7567 Å, 90.00 90.00 90.00°
Last column: nearest neighbours and their distance in Å.
Positions (direct):
Tm (0.0000, 0.0000, 0.0000)  4 Tm 3.54, 8 Th 3.57
Th (0.5000, 0.5000, 0.2914)  4 Cu 3.10
Th (0.5000, 0.5000, 0.7086)  4 Cu 3.10
Cu (0.0000, 0.0000, 0.5000)  8 Th 3.10



Entry Q
This record from Alexandria describes crystalline TmTh2Cu at its relaxed geometry. The functional is GGA-PBE.

Cell: 10.1824 10.1824 10.1824 Å, 20.42 20.42 20.42°
Last column: nearest neighbours and their distance in Å.
Positions (direct):
Tm (0.0000, 0.0000, 0.0000)  6 Th 3.54, 6 Tm 3.61
Th (0.2378, 0.2378, 0.2378)  3 Cu 2.98
Th (0.7622, 0.7622, 0.7622)  3 Cu 2.98
Cu (0.5000, 0.5000, 0.5000)  6 Th 2.98



Short version: entry Q is the least stable of them.



Entry P
This record from Alexandria describes crystalline YTh2Cu at its relaxed geometry. The functional is GGA-PBE.

Cell: 3.5716 3.5716 8.7507 Å, 90.00 90.00 90.00°
Last column: nearest neighbours and their distance in Å.
Positions (direct):
Y (0.0000, 0.0000, 0.0000)  4 Y 3.57, 8 Th 3.62
Th (0.5000, 0.5000, 0.2962)  4 Cu 3.09
Th (0.5000, 0.5000, 0.7038)  4 Cu 3.09
Cu (0.0000, 0.0000, 0.5000)  8 Th 3.09



Entry Q
This record from Alexandria describes crystalline YTh2Cu at its relaxed geometry. The functional is GGA-PBE.

Cell: 10.2528 10.2528 10.2528 Å, 20.40 20.40 20.40°
Last column: nearest neighbours and their distance in Å.
Positions (direct):
Y (0.0000, 0.0000, 0.0000)  6 Th 3.59, 6 Y 3.63
Th (0.2367, 0.2367, 0.2367)  3 Cu 2.97
Th (0.7633, 0.7633, 0.7633)  3 Cu 2.97
Cu (0.5000, 0.5000, 0.5000)  6 Th 2.97



Short version: entry Q is the least stable of them.



Entry P
This record from Alexandria describes crystalline Y2ThCu9 at its relaxed geometry. The functional is GGA-PBE.

Cell: 8.8053 8.8053 8.8053 Å, 34.58 34.58 34.58°
Last column: nearest neighbours and their distance in Å.
Positions (direct):
Y (0.1442, 0.1442, 0.1442)  12 Cu 3.04-3.07, 3 Y 3.22
Y (0.8558, 0.8558, 0.8558)  12 Cu 3.04-3.07, 3 Y 3.22
Th (0.0000, 0.0000, 0.0000)  18 Cu 3.02-3.32
Cu (0.0846, 0.5809, 0.5809)  7 Cu 2.52-2.64
Cu (0.3320, 0.3320, 0.3320)  6 Cu 2.52-2.56
Cu (0.4191, 0.4191, 0.9154)  7 Cu 2.52-2.64
Cu (0.4191, 0.9154, 0.4191)  7 Cu 2.52-2.64
Cu (0.5000, 0.5000, 0.5000)  6 Cu 2.58
Cu (0.5809, 0.0846, 0.5809)  7 Cu 2.52-2.64
Cu (0.5809, 0.5809, 0.0846)  7 Cu 2.52-2.64
Cu (0.6680, 0.6680, 0.6680)  6 Cu 2.52-2.56
Cu (0.9154, 0.4191, 0.4191)  7 Cu 2.52-2.64



Entry Q
This record from Alexandria describes crystalline Y2ThCu9 at its relaxed geometry. The functional is GGA-PBE.

Cell: 5.2303 5.2303 16.6237 Å, 90.00 90.00 120.00°
Last column: nearest neighbours and their distance in Å.
Positions (direct):
Y (0.3333, 0.6667, 0.0365)  12 Cu 3.02-3.11, 3 Y 3.25
Y (0.3333, 0.6667, 0.4635)  12 Cu 3.02-3.11, 3 Y 3.25
Y (0.6667, 0.3333, 0.5365)  12 Cu 3.02-3.11, 3 Y 3.25
Y (0.6667, 0.3333, 0.9635)  12 Cu 3.02-3.11, 3 Y 3.25
Th (0.3333, 0.6667, 0.2500)  18 Cu 3.02-3.32
Th (0.6667, 0.3333, 0.7500)  18 Cu 3.02-3.32
Cu (0.0000, 0.0000, 0.0000)  6 Cu 2.59
Cu (0.0000, 0.0000, 0.2500)  6 Cu 2.54
Cu (0.0000, 0.0000, 0.5000)  6 Cu 2.59
Cu (0.0000, 0.0000, 0.7500)  6 Cu 2.54
Cu (0.1667, 0.3334, 0.6268)  7 Cu 2.54-2.62
Cu (0.1667, 0.3334, 0.8732)  7 Cu 2.54-2.62
Cu (0.1667, 0.8333, 0.6268)  7 Cu 2.54-2.62
Cu (0.1667, 0.8333, 0.8732)  7 Cu 2.54-2.62
Cu (0.3334, 0.1667, 0.1268)  7 Cu 2.54-2.62
Cu (0.3334, 0.1667, 0.3732)  7 Cu 2.54-2.62
Cu (0.3333, 0.6667, 0.7500)  6 Cu 2.54
Cu (0.6667, 0.3333, 0.2500)  6 Cu 2.54
Cu (0.6666, 0.8333, 0.6268)  7 Cu 2.54-2.62
Cu (0.6666, 0.8333, 0.8732)  7 Cu 2.54-2.62
Cu (0.8333, 0.1667, 0.1268)  7 Cu 2.54-2.62
Cu (0.8333, 0.1667, 0.3732)  7 Cu 2.54-2.62
Cu (0.8333, 0.6666, 0.1268)  7 Cu 2.54-2.62
Cu (0.8333, 0.6666, 0.3732)  7 Cu 2.54-2.62



Short version: entry Q is the least stable of them.



Entry P
This record from Alexandria describes crystalline Th4ZnCu at its relaxed geometry. The functional is GGA-PBE.

Cell: 8.0496 8.0496 8.0496 Å, 126.68 126.68 78.77°
Last column: nearest neighbours and their distance in Å.
Positions (direct):
Th (0.0224, 0.5224, 0.8151)  2 Cu 3.08, 2 Zn 3.20, 3 Th 3.22-3.43
Th (0.2073, 0.0224, 0.5000)  2 Cu 3.08, 2 Zn 3.20, 3 Th 3.22-3.43
Th (0.2927, 0.7927, 0.8151)  2 Cu 3.08, 2 Zn 3.20, 3 Th 3.22-3.43
Th (0.4776, 0.2927, 0.5000)  2 Cu 3.08, 2 Zn 3.20, 3 Th 3.22-3.43
Th (0.5224, 0.7073, 0.5000)  2 Cu 3.08, 2 Zn 3.20, 3 Th 3.22-3.43
Th (0.7073, 0.2073, 0.1849)  2 Cu 3.08, 2 Zn 3.20, 3 Th 3.22-3.43
Th (0.7927, 0.9776, 0.5000)  2 Cu 3.08, 2 Zn 3.20, 3 Th 3.22-3.43
Th (0.9776, 0.4776, 0.1849)  2 Cu 3.08, 2 Zn 3.20, 3 Th 3.22-3.43
Zn (0.0000, 0.0000, 0.0000)  2 Cu 3.11, 8 Th 3.20
Zn (0.5000, 0.5000, 0.0000)  2 Cu 3.11, 8 Th 3.20
Cu (0.2500, 0.2500, 0.0000)  8 Th 3.08, 2 Zn 3.11
Cu (0.7500, 0.7500, 0.0000)  8 Th 3.08, 2 Zn 3.11



Entry Q
This record from Alexandria describes crystalline Th4ZnCu at its relaxed geometry. The functional is GGA-PBE.

Cell: 7.4769 7.4769 5.6380 Å, 90.00 90.00 90.00°
Last column: nearest neighbours and their distance in Å.
Positions (direct):
Th (0.1554, 0.3376, 0.0000)  2 Cu 3.12, 2 Zn 3.18, 3 Th 3.36-3.41
Th (0.1554, 0.6624, 0.5000)  2 Cu 3.12, 2 Zn 3.18, 3 Th 3.36-3.41
Th (0.3376, 0.1554, 0.5000)  2 Cu 3.12, 2 Zn 3.18, 3 Th 3.36-3.41
Th (0.3376, 0.8446, 0.0000)  2 Cu 3.12, 2 Zn 3.18, 3 Th 3.36-3.41
Th (0.6624, 0.1554, 0.0000)  2 Cu 3.12, 2 Zn 3.18, 3 Th 3.36-3.41
Th (0.6624, 0.8446, 0.5000)  2 Cu 3.12, 2 Zn 3.18, 3 Th 3.36-3.41
Th (0.8446, 0.3376, 0.5000)  2 Cu 3.12, 2 Zn 3.18, 3 Th 3.36-3.41
Th (0.8446, 0.6624, 0.0000)  2 Cu 3.12, 2 Zn 3.18, 3 Th 3.36-3.41
Zn (0.5000, 0.5000, 0.2500)  2 Zn 2.82
Zn (0.5000, 0.5000, 0.7500)  2 Zn 2.82
Cu (0.0000, 0.0000, 0.2500)  2 Cu 2.82, 8 Th 3.12
Cu (0.0000, 0.0000, 0.7500)  2 Cu 2.82, 8 Th 3.12



Short version: entry P is the least stable of them.



Entry P
This record from Alexandria describes crystalline ThZn2Cu4 at its relaxed geometry. The functional is GGA-PBE.

Cell: 5.2814 5.2814 5.2814 Å, 103.40 103.40 122.44°
Last column: nearest neighbours and their distance in Å.
Positions (direct):
Th (0.0000, 0.0000, 0.0000)  12 Cu 2.88-3.09
Zn (0.2500, 0.7500, 0.5000)  2 Zn 2.54, 8 Cu 2.70
Zn (0.7500, 0.2500, 0.5000)  2 Zn 2.54, 8 Cu 2.70
Cu (0.3109, 0.3109, 0.6218)  2 Cu 2.48, 4 Zn 2.70
Cu (0.3109, 0.6891, 0.0000)  2 Cu 2.48, 4 Zn 2.70
Cu (0.6891, 0.3109, 0.0000)  2 Cu 2.48, 4 Zn 2.70
Cu (0.6891, 0.6891, 0.3782)  2 Cu 2.48, 4 Zn 2.70



Entry Q
This record from Alexandria describes crystalline ThZn2Cu4 at its relaxed geometry. The functional is GGA-PBE.

Cell: 5.7529 5.7529 5.7529 Å, 101.79 101.79 126.26°
Last column: nearest neighbours and their distance in Å.
Positions (direct):
Th (0.0000, 0.0000, 0.0000)  8 Cu 3.08
Zn (0.2500, 0.7500, 0.5000)  4 Cu 2.37, 2 Zn 2.60
Zn (0.7500, 0.2500, 0.5000)  4 Cu 2.37, 2 Zn 2.60
Cu (0.2733, 0.5000, 0.7733)  2 Cu 2.33, 2 Zn 2.37
Cu (0.5000, 0.2733, 0.7733)  2 Cu 2.33, 2 Zn 2.37
Cu (0.5000, 0.7267, 0.2267)  2 Cu 2.33, 2 Zn 2.37
Cu (0.7267, 0.5000, 0.2267)  2 Cu 2.33, 2 Zn 2.37



Short version: entry Q is the least stable of them.



Entry P
This record from Alexandria describes crystalline ThZn4Cu2 at its relaxed geometry. The functional is GGA-PBE.

Cell: 7.5312 7.5312 4.1332 Å, 90.00 90.00 90.00°
Last column: nearest neighbours and their distance in Å.
Positions (direct):
Th (0.0000, 0.0000, 0.0000)  6 Cu 3.03-3.09, 12 Zn 3.33-3.36
Th (0.5000, 0.5000, 0.5000)  6 Cu 3.03-3.09, 12 Zn 3.33-3.36
Zn (0.0872, 0.3411, 0.5000)  3 Cu 2.47-2.58, 2 Zn 2.70-2.73
Zn (0.1589, 0.5872, 0.0000)  3 Cu 2.47-2.58, 2 Zn 2.70-2.73
Zn (0.3411, 0.0872, 0.5000)  3 Cu 2.47-2.58, 2 Zn 2.70-2.73
Zn (0.4128, 0.8411, 0.0000)  3 Cu 2.47-2.58, 2 Zn 2.70-2.73
Zn (0.5872, 0.1589, 0.0000)  3 Cu 2.47-2.58, 2 Zn 2.70-2.73
Zn (0.6589, 0.9128, 0.5000)  3 Cu 2.47-2.58, 2 Zn 2.70-2.73
Zn (0.8411, 0.4128, 0.0000)  3 Cu 2.47-2.58, 2 Zn 2.70-2.73
Zn (0.9128, 0.6589, 0.5000)  3 Cu 2.47-2.58, 2 Zn 2.70-2.73
Cu (0.2157, 0.7843, 0.5000)  6 Zn 2.47-2.58
Cu (0.2843, 0.2843, 0.0000)  6 Zn 2.47-2.58
Cu (0.7157, 0.7157, 0.0000)  6 Zn 2.47-2.58
Cu (0.7843, 0.2157, 0.5000)  6 Zn 2.47-2.58



Entry Q
This record from Alexandria describes crystalline ThZn4Cu2 at its relaxed geometry. The functional is GGA-PBE.

Cell: 7.1628 7.1628 4.1666 Å, 90.00 90.00 146.16°
Last column: nearest neighbours and their distance in Å.
Positions (direct):
Th (0.0000, 0.0000, 0.0000)  8 Cu 3.18, 8 Zn 3.31
Zn (0.1878, 0.8122, 0.5000)  2 Cu 2.50, 4 Zn 2.69-2.70
Zn (0.3127, 0.6873, 0.0000)  2 Cu 2.49, 4 Zn 2.70
Zn (0.6873, 0.3127, 0.0000)  2 Cu 2.49, 4 Zn 2.70
Zn (0.8122, 0.1878, 0.5000)  2 Cu 2.50, 4 Zn 2.69-2.70
Cu (0.4127, 0.5873, 0.5000)  1 Cu 2.39, 4 Zn 2.49-2.50
Cu (0.5873, 0.4127, 0.5000)  1 Cu 2.39, 4 Zn 2.49-2.50



Short version: entry Q is the least stable of them.